Below is a relaxed Co3ReO crystal, with properties calculated at the GGA+U level. Values from VASP.

```
&SYSTEM
  ibrav = 0, nat = 5, ntyp = 3
/
ATOMIC_SPECIES
Co 58.93 Co.upf
Re 186.21 Re.upf
O 16.00 O.upf
CELL_PARAMETERS angstrom
3.859 0.000 0.000
0.000 3.859 0.000
0.000 0.000 3.859
ATOMIC_POSITIONS crystal
Co 0.000 0.000 0.500
Co 0.000 0.500 0.000
Co 0.500 0.000 0.000
Re 0.500 0.500 0.500
O 0.000 0.000 0.000
```

Symmetry: Pm-3m, No. 221
E above lowest polymorph, meV per atom: 0